<A>
Here is a relaxed structure of SrW3Se from Alexandria via LeMat-Bulk. Energies are from PBE-GGA.

```
data_SrW3Se
_cell_length_a 4.7646
_cell_length_b 4.7646
_cell_length_c 4.7646
_cell_angle_alpha 90.00
_cell_angle_beta 90.00
_cell_angle_gamma 90.00
_symmetry_space_group_name_H-M 'P 1'
_symmetry_Int_Tables_number 1
loop_
_symmetry_equiv_pos_as_xyz
'x,y,z'
loop_
_atom_site_label
_atom_site_type_symbol
_atom_site_fract_x
_atom_site_fract_y
_atom_site_fract_z
Sr1 Sr 0.0000 0.0000 0.0000
W1 W 0.0000 0.5000 0.5000
W2 W 0.5000 0.0000 0.5000
W3 W 0.5000 0.5000 0.0000
Se1 Se 0.5000 0.5000 0.5000
```

Output
As for the space group: Pm-3m. Its total moment is 0.00 μB/f.u.

<B>
Here is a relaxed structure of SrW3Se from Alexandria via LeMat-Bulk. Energies are from PBE-GGA.

```
data_SrW3Se
_cell_length_a 4.8727
_cell_length_b 4.8727
_cell_length_c 4.8727
_cell_angle_alpha 90.00
_cell_angle_beta 90.00
_cell_angle_gamma 90.00
_symmetry_space_group_name_H-M 'P 1'
_symmetry_Int_Tables_number 1
loop_
_symmetry_equiv_pos_as_xyz
'x,y,z'
loop_
_atom_site_label
_atom_site_type_symbol
_atom_site_fract_x
_atom_site_fract_y
_atom_site_fract_z
Sr1 Sr 0.0000 0.0000 0.0000
W1 W 0.0000 0.0000 0.5000
W2 W 0.0000 0.5000 0.0000
W3 W 0.5000 0.0000 0.0000
Se1 Se 0.5000 0.5000 0.5000
```

Output
As for the space group: Pm-3m. Its total moment is 0.00 μB/f.u.

The winner here is <A>, beating the second structure by 223.6 kJ/mol of atoms.